11
Lattice="7.8763 -1.3900 0.0000 7.8763 1.3900 0.0000 -2.1437 0.0000 5.8379" Properties=species:S:1:pos:R:3 comment="Nb5Co2H4 | the Alexandria database | GGA-PBE | relaxed" final_energy_ev_per_fu=-76.76 n_ef_per_ev_cell=6.84 pbc="T T T"
Nb 0.0000 0.0000 0.0000
Nb 3.4885 0.0000 4.0668
Nb 4.9799 0.0000 1.3335
Nb 8.6291 0.0000 4.5044
Nb 10.1205 0.0000 1.7712
Co 5.9198 0.0000 3.6299
Co 7.6892 0.0000 2.2080
H 3.0945 0.0000 0.4938
H 6.4779 0.0000 0.0616
H 7.1311 0.0000 5.7763
H 10.5145 0.0000 5.3441

---

20
Lattice="5.7156 0.0000 0.0000 0.0000 8.7467 0.0000 0.0000 0.0000 7.6439" Properties=species:S:1:pos:R:3 comment="Ca2SiPPd6 | the Alexandria database | GGA-PBE | relaxed" raw_formation_energy_ev_per_atom=-0.72 n_ef_per_ev_cell=5.88 pbc="T T T"
Ca 1.4289 0.1199 1.7520
Ca 1.4289 4.2535 1.7520
Ca 4.2867 4.4932 5.8919
Ca 4.2867 8.6269 5.8919
Si 1.4289 6.5600 5.8366
Si 4.2867 2.1867 1.8073
P 1.4289 2.1867 5.7104
P 4.2867 6.5600 1.9335
Pd 0.0384 6.5600 3.8033
Pd 0.0490 6.5600 0.1529
Pd 1.4289 8.7465 4.8482
Pd 1.4289 4.3736 4.8482
Pd 2.8088 6.5600 0.1529
Pd 2.8194 6.5600 3.8033
Pd 2.8962 2.1867 3.8406
Pd 2.9068 2.1867 7.4910
Pd 4.2867 0.0002 2.7957
Pd 4.2867 4.3731 2.7957
Pd 5.6666 2.1867 7.4910
Pd 5.6772 2.1867 3.8406

---

12
Lattice="3.1004 1.7900 10.0135 -3.1004 1.7900 10.0135 0.0000 -3.5800 10.0135" Properties=species:S:1:pos:R:3 comment="Ac2HoMg9 | the Alexandria database | GGA-PBE | relaxed" delta_e_f_ev_per_atom=-0.0349 n_ef_per_ev_cell=10.11 pbc="T T T"
Ac 0.0000 0.0000 4.2305
Ac 0.0000 0.0000 25.8100
Ho 0.0000 0.0000 0.0000
Mg -1.5593 -0.9003 12.4289
Mg 0.0000 0.0000 10.0289
Mg 0.0000 -1.8005 17.6116
Mg -1.5593 0.9003 17.6116
Mg 0.0000 0.0000 15.0203
Mg 1.5593 -0.9003 12.4289
Mg 0.0000 1.8005 12.4289
Mg 0.0000 0.0000 20.0116
Mg 1.5593 0.9003 17.6116

---

6
Lattice="3.6245 0.0000 0.0000 -1.8122 3.1389 0.0000 0.0000 0.0000 8.9540" Properties=species:S:1:pos:R:3 comment="LiSnB | the Alexandria database | GGA-PBE | relaxed" delta_e_f_ev_per_atom=0.1304 e_above_lowest_polymorph_mev_per_atom=220.3 n_ef_per_ev_cell=1.39 pbc="T T T"
Li 0.0000 0.0000 0.0000
Li 0.0000 0.0000 4.4770
Sn 0.0000 2.0926 2.0892
Sn 0.0000 2.0926 6.8648
B 1.8122 1.0463 0.8008
B 1.8122 1.0463 8.1532

---

4
Lattice="1.4405 -2.2327 0.0000 1.4405 2.2327 0.0000 0.0000 0.0000 9.0244" Properties=species:S:1:pos:R:3 comment="CuRu2W | the Alexandria database | GGA-PBE | relaxed" delta_e_f_ev_per_atom=0.4271 e_above_lowest_polymorph_mev_per_atom=353.2 n_ef_per_ev_cell=5.22 pbc="T T T"
Cu 0.0000 0.0000 0.0000
Ru 0.0000 0.0000 4.5266
Ru 1.4405 0.0000 6.8055
W 1.4405 0.0000 2.2635

---

9
Lattice="-1.6218 3.6564 4.2724 1.6218 -3.6564 4.2724 1.6218 3.6564 -4.2724" Properties=species:S:1:pos:R:3 comment="SmNb2B6 | the Alexandria database | GGA-PBE | relaxed" delta_e_f_ev_per_atom=-0.5298 e_above_lowest_polymorph_mev_per_atom=61.0 n_ef_per_ev_cell=2.48 pbc="T T T"
Sm 0.0000 0.0000 0.0000
Nb 1.6218 0.0000 2.8920
Nb 0.0000 3.6564 1.3805
B 1.6218 1.9368 -1.6810
B 1.6218 2.5521 0.0000
B 1.6218 1.9368 1.6810
B 0.0000 1.7197 2.5914
B 0.0000 1.1043 4.2724
B 0.0000 1.7197 5.9535